Record 1
Density functional theory data (PBE) for an optimized crystal structure of YCuSe4.

Calculated values
- symmetry = F-43m, No. 216

Cell: 5.6904 5.6904 5.6904 Å, 60.00 60.00 60.00°
Closest atoms and distances in Å follow each position.
Fractional coordinates of all 6 atoms:
1 Y 0.0000 0.0000 0.0000  12 Se 3.34, 4 Cu 3.48
2 Cu 0.7500 0.7500 0.7500  12 Se 3.33, 4 Y 3.48
3 Se 0.3757 0.3757 0.3757  6 Se 2.83-2.86
4 Se 0.3757 0.3757 0.8730  6 Se 2.83-2.86
5 Se 0.3757 0.8730 0.3757  6 Se 2.83-2.86
6 Se 0.8730 0.3757 0.3757  6 Se 2.83-2.86

---

Record 2
Density functional theory data (PBE) for an optimized crystal structure of Y4CuSe.

Calculated values
- symmetry = F-43m, No. 216

Cell: 6.2504 6.2504 6.2504 Å, 60.00 60.00 60.00°
Closest atoms and distances in Å follow each position.
Fractional coordinates of all 6 atoms:
1 Y 0.1247 0.1247 0.1247  6 Y 3.12-3.13
2 Y 0.1247 0.1247 0.6260  6 Y 3.12-3.13
3 Y 0.1247 0.6260 0.1247  6 Y 3.12-3.13
4 Y 0.6260 0.1247 0.1247  6 Y 3.12-3.13
5 Cu 0.7500 0.7500 0.7500  12 Y 3.66, 4 Se 3.83
6 Se 0.5000 0.5000 0.5000  12 Y 3.67, 4 Cu 3.83

---

Record 3
Density functional theory data (PBE) for an optimized crystal structure of YCuSe.

Calculated values
- symmetry = R-3m, No. 166
- excess energy over the best structure of this formula in the dataset (meV per atom) = 0

Cell: 10.0301 10.0301 10.0301 Å, 24.76 24.76 24.76°
Closest atoms and distances in Å follow each position.
Fractional coordinates of all 6 atoms:
1 Y 0.0649 0.0649 0.0649  3 Se 2.78, 3 Cu 3.04
2 Y 0.9351 0.9351 0.9351  3 Se 2.78, 3 Cu 3.04
3 Cu 0.3288 0.3288 0.3288  3 Cu 2.50
4 Cu 0.6712 0.6712 0.6712  3 Cu 2.50
5 Se 0.2259 0.2259 0.2259  3 Y 2.78, 1 Cu 3.00
6 Se 0.7741 0.7741 0.7741  3 Y 2.78, 1 Cu 3.00

---

Record 4
Density functional theory data (PBE) for an optimized crystal structure of Y3CuSe2.

Calculated values
- symmetry = C2/m, No. 12

Cell: 6.9921 6.9921 7.2274 Å, 99.32 99.32 120.26°
Closest atoms and distances in Å follow each position.
Fractional coordinates of all 12 atoms:
1 Y 0.0808 0.4182 0.7561  2 Cu 2.84-2.85, 4 Se 2.89-2.93
2 Y 0.2431 0.2431 0.2433  2 Cu 2.86, 4 Se 2.89
3 Y 0.4182 0.0808 0.7561  2 Cu 2.84-2.85, 4 Se 2.89-2.93
4 Y 0.5818 0.9192 0.2439  2 Cu 2.84-2.85, 4 Se 2.89-2.93
5 Y 0.7569 0.7569 0.7567  2 Cu 2.86, 4 Se 2.89
6 Y 0.9192 0.5818 0.2439  2 Cu 2.84-2.85, 4 Se 2.89-2.93
7 Cu 0.1676 0.8324 0.0000  6 Y 2.84-2.86
8 Cu 0.8324 0.1676 0.0000  6 Y 2.84-2.86
9 Se 0.0000 0.0000 0.5000  6 Y 2.89-2.92
10 Se 0.3375 0.6625 0.5000  6 Y 2.89-2.93
11 Se 0.5000 0.5000 0.0000  6 Y 2.89
12 Se 0.6625 0.3375 0.5000  6 Y 2.89-2.93

---

Record 5
Density functional theory data (PBE) for an optimized crystal structure of YCu5Se4.

Calculated values
- symmetry = Immm, No. 71

Cell: 7.6969 7.6969 7.6969 Å, 149.85 122.72 66.09°
Closest atoms and distances in Å follow each position.
Fractional coordinates of all 10 atoms:
1 Y 0.0000 0.0000 0.0000  6 Se 2.88-2.99
2 Cu 0.0050 0.3176 0.6874  4 Se 2.45-2.56
3 Cu 0.3698 0.6824 0.6874  4 Se 2.45-2.56
4 Cu 0.5000 0.0000 0.5000  4 Se 2.58
5 Cu 0.6302 0.3176 0.3126  4 Se 2.45-2.56
6 Cu 0.9950 0.6824 0.3126  4 Se 2.45-2.56
7 Se 0.2317 0.2317 0.0000  6 Cu 2.51-2.56
8 Se 0.2804 0.5000 0.7804  4 Cu 2.45-2.58
9 Se 0.7196 0.5000 0.2196  4 Cu 2.45-2.58
10 Se 0.7683 0.7683 0.0000  6 Cu 2.51-2.56

---

Record 6
Density functional theory data (PBE) for an optimized crystal structure of YCu3Se3.

Calculated values
- symmetry = R-3, No. 148

Cell: 7.7536 7.7536 7.7536 Å, 53.72 53.72 53.72°
Closest atoms and distances in Å follow each position.
Fractional coordinates of all 14 atoms:
1 Y 0.1663 0.1663 0.1663  6 Se 2.88-2.89
2 Y 0.8337 0.8337 0.8337  6 Se 2.88-2.89
3 Cu 0.0229 0.7318 0.3704  4 Se 2.43-2.54
4 Cu 0.2682 0.6296 0.9771  4 Se 2.43-2.54
5 Cu 0.3704 0.0229 0.7318  4 Se 2.43-2.54
6 Cu 0.6296 0.9771 0.2682  4 Se 2.43-2.54
7 Cu 0.7318 0.3704 0.0229  4 Se 2.43-2.54
8 Cu 0.9771 0.2682 0.6296  4 Se 2.43-2.54
9 Se 0.0958 0.4200 0.7383  4 Cu 2.43-2.54
10 Se 0.2617 0.9042 0.5800  4 Cu 2.43-2.54
11 Se 0.4200 0.7383 0.0958  4 Cu 2.43-2.54
12 Se 0.5800 0.2617 0.9042  4 Cu 2.43-2.54
13 Se 0.7383 0.0958 0.4200  4 Cu 2.43-2.54
14 Se 0.9042 0.5800 0.2617  4 Cu 2.43-2.54

---

Record 7
Density functional theory data (PBE) for an optimized crystal structure of YCu2Se2.

Calculated values
- symmetry = I4/mmm, No. 139

Cell: 3.6940 3.6940 13.4420 Å, 90.00 90.00 90.00°
Closest atoms and distances in Å follow each position.
Fractional coordinates of all 10 atoms:
1 Y 0.0000 0.0000 0.0000  8 Se 3.05
2 Y 0.5000 0.5000 0.5000  8 Se 3.05
3 Cu 0.0000 0.5000 0.2500  4 Se 2.57, 4 Cu 2.61
4 Cu 0.0000 0.5000 0.7500  4 Se 2.57, 4 Cu 2.61
5 Cu 0.5000 0.0000 0.2500  4 Se 2.57, 4 Cu 2.61
6 Cu 0.5000 0.0000 0.7500  4 Se 2.57, 4 Cu 2.61
7 Se 0.0000 0.0000 0.3826  4 Cu 2.57
8 Se 0.0000 0.0000 0.6174  4 Cu 2.57
9 Se 0.5000 0.5000 0.1174  4 Cu 2.57
10 Se 0.5000 0.5000 0.8826  4 Cu 2.57

---

Record 8
Density functional theory data (PBE) for an optimized crystal structure of Y8CuSe6.

Calculated values
- symmetry = P-3, No. 147

Cell: 10.5171 10.5171 4.0418 Å, 90.00 90.00 120.00°
Closest atoms and distances in Å follow each position.
Fractional coordinates of all 15 atoms:
1 Y 0.0326 0.7255 0.2509  3 Se 2.83-2.90
2 Y 0.2745 0.3072 0.2509  3 Se 2.83-2.90
3 Y 0.3072 0.0326 0.7491  3 Se 2.83-2.90
4 Y 0.3333 0.6667 0.7488  6 Se 2.88
5 Y 0.6667 0.3333 0.2512  6 Se 2.88
6 Y 0.6928 0.9674 0.2509  3 Se 2.83-2.90
7 Y 0.7255 0.6928 0.7491  3 Se 2.83-2.90
8 Y 0.9674 0.2745 0.7491  3 Se 2.83-2.90
9 Cu 0.0000 0.0000 0.5000  6 Y 3.23
10 Se 0.1299 0.4809 0.2495  5 Y 2.83-2.90
11 Se 0.3511 0.8701 0.2495  5 Y 2.83-2.90
12 Se 0.4809 0.3511 0.7505  5 Y 2.83-2.90
13 Se 0.5191 0.6489 0.2495  5 Y 2.83-2.90
14 Se 0.6489 0.1299 0.7505  5 Y 2.83-2.90
15 Se 0.8701 0.5191 0.7505  5 Y 2.83-2.90

---

Record 9
Density functional theory data (PBE) for an optimized crystal structure of Y2Cu2Se.

Calculated values
- symmetry = R-3m, No. 166
- excess energy over the best structure of this formula in the dataset (meV per atom) = 0

Cell: 4.0956 4.0956 22.0576 Å, 90.00 90.00 120.00°
Closest atoms and distances in Å follow each position.
Fractional coordinates of all 15 atoms:
1 Y 0.0000 0.0000 0.0854  3 Se 2.97, 6 Cu 3.00-3.05
2 Y 0.0000 0.0000 0.9146  3 Se 2.97, 6 Cu 3.00-3.05
3 Y 0.3333 0.6667 0.5813  3 Se 2.97, 6 Cu 3.00-3.05
4 Y 0.3333 0.6667 0.7521  3 Se 2.97, 6 Cu 3.00-3.05
5 Y 0.6667 0.3333 0.2479  3 Se 2.97, 6 Cu 3.00-3.05
6 Y 0.6667 0.3333 0.4187  3 Se 2.97, 6 Cu 3.00-3.05
7 Cu 0.0000 0.0000 0.3313  3 Cu 2.37
8 Cu 0.0000 0.0000 0.6687  3 Cu 2.37
9 Cu 0.3333 0.6667 0.3354  3 Cu 2.37
10 Cu 0.3333 0.6667 0.9980  3 Cu 2.37
11 Cu 0.6667 0.3333 0.0020  3 Cu 2.37
12 Cu 0.6667 0.3333 0.6646  3 Cu 2.37
13 Se 0.0000 0.0000 0.5000  6 Y 2.97
14 Se 0.3333 0.6667 0.1667  6 Y 2.97
15 Se 0.6667 0.3333 0.8333  6 Y 2.97

---

Record 10
Density functional theory data (PBE) for an optimized crystal structure of YCuSe.

Calculated values
- symmetry = P3m1, No. 156
- excess energy over the best structure of this formula in the dataset (meV per atom) = 180

Cell: 4.0669 4.0669 4.3273 Å, 90.00 90.00 120.00°
Closest atoms and distances in Å follow each position.
Fractional coordinates of all 3 atoms:
1 Y 0.0000 0.0000 0.0000  3 Cu 2.83, 3 Se 3.00
2 Cu 0.6667 0.3333 0.3659  3 Se 2.51
3 Se 0.3333 0.6667 0.5685  3 Cu 2.51

---

Record 11
Density functional theory data (PBE) for an optimized crystal structure of YCuSe3.

Calculated values
- symmetry = Pm-3m, No. 221
- excess energy over the best structure of this formula in the dataset (meV per atom) = 0

Cell: 4.8093 4.8093 4.8093 Å, 90.00 90.00 90.00°
Closest atoms and distances in Å follow each position.
Fractional coordinates of all 5 atoms:
1 Y 0.0000 0.0000 0.0000  12 Se 3.40
2 Cu 0.5000 0.5000 0.5000  6 Se 2.40
3 Se 0.0000 0.5000 0.5000  2 Cu 2.40
4 Se 0.5000 0.0000 0.5000  2 Cu 2.40
5 Se 0.5000 0.5000 0.0000  2 Cu 2.40

---

Record 12
Density functional theory data (PBE) for an optimized crystal structure of Y5CuSe4.

Calculated values
- symmetry = C2/m, No. 12

Cell: 7.1650 7.1650 10.1156 Å, 118.79 118.79 32.58°
Closest atoms and distances in Å follow each position.
Fractional coordinates of all 10 atoms:
1 Y 0.0000 0.0000 0.0000  6 Se 2.88
2 Y 0.1925 0.1925 0.7870  1 Cu 2.78, 5 Se 2.91-2.93
3 Y 0.4055 0.4055 0.5967  2 Cu 2.82, 4 Se 2.93-2.97
4 Y 0.5945 0.5945 0.4033  2 Cu 2.82, 4 Se 2.93-2.97
5 Y 0.8075 0.8075 0.2130  1 Cu 2.78, 5 Se 2.91-2.93
6 Cu 0.0000 0.0000 0.5000  6 Y 2.78-2.82
7 Se 0.1965 0.1965 0.3002  6 Y 2.88-2.93
8 Se 0.3946 0.3946 0.0905  6 Y 2.88-2.97
9 Se 0.6054 0.6054 0.9095  6 Y 2.88-2.97
10 Se 0.8035 0.8035 0.6998  6 Y 2.88-2.93

---

Number 1: formation energy without anion corrections 110 meV per atom. Number 2: formation energy without anion corrections 455 meV per atom. Number 3: formation energy without anion corrections -975 meV per atom. Number 4: formation energy without anion corrections -1244 meV per atom. Number 5: formation energy without anion corrections -458 meV per atom. Number 6: formation energy without anion corrections -741 meV per atom. Number 7: formation energy without anion corrections -673 meV per atom. Number 8: formation energy without anion corrections -1215 meV per atom. Number 9: formation energy without anion corrections -851 meV per atom. Number 10: formation energy without anion corrections -794 meV per atom. Number 11: formation energy without anion corrections -514 meV per atom. Number 12: formation energy without anion corrections -1479 meV per atom.